# ScTaCr (GGA-PBE, relaxed)
# - ΔH_f (0 K): 0.705 eV per atom
# - Space group: F-43m (216)
data_ScTaCr
_chemical_formula_sum 'Sc1 Ta1 Cr1'
_cell_length_a 4.330
_cell_length_b 4.330
_cell_length_c 4.330
_cell_angle_alpha 60.00
_cell_angle_beta 60.00
_cell_angle_gamma 60.00
_space_group_name_H-M_alt 'P 1'
_space_group_IT_number 1
_space_group_name_Hall 'P 1'
loop_
_atom_site_label
_atom_site_type_symbol
_atom_site_fract_x
_atom_site_fract_y
_atom_site_fract_z
Sc1 Sc 0.000 0.000 0.000
Ta1 Ta 0.500 0.500 0.500
Cr1 Cr 0.750 0.750 0.750


# Nb3ZnMo (GGA-PBE, relaxed)
# - ΔH_f (0 K): 1.244 eV per atom
# - Space group: Pm-3m (221)
data_Nb3ZnMo
_chemical_formula_sum 'Nb3 Zn1 Mo1'
_cell_length_a 4.834
_cell_length_b 4.834
_cell_length_c 4.834
_cell_angle_alpha 90.00
_cell_angle_beta 90.00
_cell_angle_gamma 90.00
_space_group_name_H-M_alt 'P 1'
_space_group_IT_number 1
_space_group_name_Hall 'P 1'
loop_
_atom_site_label
_atom_site_type_symbol
_atom_site_fract_x
_atom_site_fract_y
_atom_site_fract_z
Zn1 Zn 0.500 0.500 0.500
Nb1 Nb 0.000 0.000 0.500
Nb2 Nb 0.000 0.500 0.000
Nb3 Nb 0.500 0.000 0.000
Mo1 Mo 0.000 0.000 0.000


# Ca2BMoRu (GGA-PBE, relaxed)
# - ΔH_f (0 K): 0.808 eV per atom
# - Space group: P4/mmm (123)
data_Ca2BMoRu
_chemical_formula_sum 'Ca2 B1 Mo1 Ru1'
_cell_length_a 5.007
_cell_length_b 5.007
_cell_length_c 4.138
_cell_angle_alpha 90.00
_cell_angle_beta 90.00
_cell_angle_gamma 90.00
_space_group_name_H-M_alt 'P 1'
_space_group_IT_number 1
_space_group_name_Hall 'P 1'
loop_
_atom_site_label
_atom_site_type_symbol
_atom_site_fract_x
_atom_site_fract_y
_atom_site_fract_z
Ca1 Ca 0.500 0.000 0.000
Ca2 Ca 0.000 0.500 0.000
Ru1 Ru 0.500 0.500 0.500
Mo1 Mo 0.000 0.000 0.500
B1 B 0.000 0.000 0.000


Number 1: VASP energy -8.56 eV/atom. Number 2: VASP energy -7.22 eV/atom. Number 3: VASP energy -5.35 eV/atom.